No. 1
Below is crystalline DySbPt4 at its relaxed geometry, with properties calculated at the PBE level.

Cell: 5.284 6.469 7.427 Å, 90.28 109.45 97.54°
Fractional coordinates of all 12 atoms:
Dy  0.098  0.247  0.460
Dy  0.902  0.753  0.540
Sb  0.000  0.500  0.000
Sb  0.500  0.000  0.000
Pt  0.038  0.128  0.839
Pt  0.332  0.627  0.364
Pt  0.339  0.545  0.803
Pt  0.481  0.925  0.660
Pt  0.519  0.075  0.340
Pt  0.661  0.455  0.197
Pt  0.668  0.373  0.636
Pt  0.962  0.872  0.161

Its formation energy from raw total energies is -0.5848 eV per atom. The calculation puts the volume at 237 Å³ per cell. As for the total energy: -6.066 eV per atom. Its space-group type is P-1, No. 2.


No. 2
Below is crystalline CaPmNd2Hg4 at its relaxed geometry, with properties calculated at the PBE level.

Cell: 9.348 9.348 9.348 Å, 33.60 33.60 33.60°
Fractional coordinates of all 8 atoms:
Ca  0.000  0.000  0.000
Pm  0.500  0.500  0.500
Nd  0.253  0.253  0.253
Nd  0.747  0.747  0.747
Hg  0.126  0.126  0.126
Hg  0.376  0.376  0.376
Hg  0.624  0.624  0.624
Hg  0.874  0.874  0.874

The calculation puts the volume at 223 Å³ per cell. As for the total energy: -2.695 eV per atom. Its space-group type is R-3m, No. 166. The calculated formation energy comes out at -0.51 eV/atom.


No. 3
Below is crystalline Al2CoTe at its relaxed geometry, with properties calculated at the PBE level.

Cell: 4.610 4.610 4.610 Å, 60.00 60.00 60.00°
Fractional coordinates of all 4 atoms:
Al  0.000  0.000  0.000
Al  0.250  0.250  0.250
Co  0.500  0.500  0.500
Te  0.750  0.750  0.750

Its formation energy from raw total energies is 0.3423 eV per atom. The calculation puts the volume at 69 Å³ per cell. As for the total energy: -4.091 eV per atom. Its space-group type is F-43m, No. 216.


No. 4
Below is crystalline Mn2GaIr at its relaxed geometry, with properties calculated at the PBE level.

Cell: 5.574 5.574 5.574 Å, 102.06 102.06 125.60°
Fractional coordinates of all 8 atoms:
Mn  0.114  0.625  0.989
Mn  0.375  0.364  0.489
Mn  0.636  0.125  0.011
Mn  0.875  0.886  0.511
Ga  0.250  0.750  0.500
Ga  0.500  0.500  0.000
Ir  0.000  0.000  0.000
Ir  0.750  0.250  0.500

The calculation puts the volume at 125 Å³ per cell. As for the total energy: -7.222 eV per atom. Its space-group type is I-42d, No. 122. The calculated formation energy comes out at 0.33 eV/atom.


No. 5
Below is crystalline LiCaAlAg at its relaxed geometry, with properties calculated at the PBE level.

Cell: 4.853 4.853 4.853 Å, 60.00 60.00 60.00°
Fractional coordinates of all 4 atoms:
Li  0.000  0.000  0.000
Ca  0.250  0.250  0.250
Al  0.750  0.750  0.750
Ag  0.500  0.500  0.500

The calculation puts the volume at 81 Å³ per cell. As for the total energy: -2.844 eV per atom. Its space-group type is F-43m, No. 216. The calculated formation energy comes out at -0.22 eV/atom.


No. 6
Below is crystalline TiCr2Tc at its relaxed geometry, with properties calculated at the PBE level.

Cell: 5.410 5.410 5.410 Å, 102.74 102.74 123.97°
Fractional coordinates of all 8 atoms:
Ti  0.000  0.000  0.000
Ti  0.750  0.250  0.500
Cr  0.144  0.125  0.519
Cr  0.375  0.856  0.981
Cr  0.606  0.625  0.481
Cr  0.875  0.394  0.019
Tc  0.250  0.750  0.500
Tc  0.500  0.500  0.000

The calculation puts the volume at 116 Å³ per cell. As for the total energy: -8.845 eV per atom. Its space-group type is I-42d, No. 122. The calculated formation energy comes out at 0.53 eV/atom.


No. 7
Below is crystalline Be2IrPb at its relaxed geometry, with properties calculated at the PBE level.

Cell: 2.957 3.611 5.987 Å, 90.00 90.18 90.00°
Fractional coordinates of all 4 atoms:
Be  0.000  0.000  0.000
Be  0.002  0.500  0.246
Ir  0.500  0.500  0.963
Pb  0.496  0.000  0.557

The calculation puts the volume at 64 Å³ per cell. As for the total energy: -4.934 eV per atom. Its space-group type is Pm, No. 6. The calculated formation energy comes out at 0.07 eV/atom.


No. 8
Below is crystalline CaPbW2 at its relaxed geometry, with properties calculated at the PBE level.

Cell: 6.447 6.447 6.447 Å, 100.47 100.47 129.52°
Fractional coordinates of all 8 atoms:
Ca  0.000  0.000  0.000
Ca  0.750  0.250  0.500
Pb  0.250  0.750  0.500
Pb  0.500  0.500  0.000
W  0.163  0.125  0.538
W  0.375  0.837  0.962
W  0.587  0.625  0.462
W  0.875  0.413  0.038

The calculation puts the volume at 187 Å³ per cell. As for the total energy: -6.364 eV per atom. Its space-group type is I-42d, No. 122. The calculated formation energy comes out at 1.54 eV/atom.


No. 9
Below is crystalline Nb2ReBr at its relaxed geometry, with properties calculated at the PBE level.

Cell: 4.629 4.629 4.629 Å, 60.00 60.00 60.00°
Fractional coordinates of all 4 atoms:
Nb  0.250  0.250  0.250
Nb  0.750  0.750  0.750
Re  0.000  0.000  0.000
Br  0.500  0.500  0.500

Its formation energy from raw total energies is 0.6681 eV per atom. The calculation puts the volume at 70 Å³ per cell. As for the total energy: -7.897 eV per atom. Its space-group type is Fm-3m, No. 225.


No. 10
Below is crystalline BaInHg2Pd at its relaxed geometry, with properties calculated at the PBE level.

Cell: 5.365 5.365 5.185 Å, 90.00 90.00 90.00°
Fractional coordinates of all 5 atoms:
Ba  0.000  0.000  0.000
In  0.500  0.500  0.000
Hg  0.000  0.500  0.500
Hg  0.500  0.000  0.500
Pd  0.500  0.500  0.500

The calculation puts the volume at 149 Å³ per cell. As for the total energy: -2.451 eV per atom. Its space-group type is P4/mmm, No. 123. The calculated formation energy comes out at -0.36 eV/atom.


No. 11
Below is crystalline KLi2Ta at its relaxed geometry, with properties calculated at the PBE level.

Cell: 11.946 11.946 11.946 Å, 14.52 14.52 14.52°
Fractional coordinates of all 4 atoms:
K  0.000  0.000  0.000
Li  0.237  0.237  0.237
Li  0.763  0.763  0.763
Ta  0.500  0.500  0.500

The calculation puts the volume at 93 Å³ per cell. As for the total energy: -3.563 eV per atom. Its space-group type is R-3m, No. 166. The calculated formation energy comes out at 0.63 eV/atom.


No. 12
Below is crystalline AcTbEr2Se6 at its relaxed geometry, with properties calculated at the PBE level.

Cell: 7.743 7.743 7.743 Å, 56.77 56.77 56.77°
Fractional coordinates of all 10 atoms:
Ac  0.000  0.000  0.000
Tb  0.487  0.487  0.487
Er  0.287  0.287  0.287
Er  0.793  0.793  0.793
Se  0.071  0.649  0.434
Se  0.187  0.570  0.896
Se  0.434  0.071  0.649
Se  0.570  0.896  0.187
Se  0.649  0.434  0.071
Se  0.896  0.187  0.570

Its formation energy from raw total energies is -1.8768 eV per atom. The calculation puts the volume at 304 Å³ per cell. As for the total energy: -5.754 eV per atom. Its space-group type is R3, No. 146.


No. 13
Below is crystalline TmMnW at its relaxed geometry, with properties calculated at the PBE level.

Cell: 7.630 7.630 7.630 Å, 22.72 22.72 22.72°
Fractional coordinates of all 3 atoms:
Tm  0.000  0.000  0.000
Mn  0.876  0.876  0.876
W  0.130  0.130  0.130

The calculation puts the volume at 58 Å³ per cell. As for the total energy: -8.035 eV per atom. Its space-group type is R3m, No. 160. The calculated formation energy comes out at 0.83 eV/atom.


No. 14
Below is crystalline SrPt2 at its relaxed geometry, with properties calculated at the PBE level.

Cell: 5.278 5.278 7.429 Å, 94.43 94.43 44.66°
Fractional coordinates of all 6 atoms:
Sr  0.000  0.000  0.000
Sr  0.236  0.236  0.619
Pt  0.303  0.303  0.237
Pt  0.523  0.523  0.657
Pt  0.624  0.624  0.297
Pt  0.944  0.944  0.398

The calculation puts the volume at 145 Å³ per cell. As for the total energy: -5.025 eV per atom. Its space-group type is Cm, No. 8. The calculated formation energy comes out at -0.44 eV/atom.


No. 15
Below is crystalline Pm2PrSm8 at its relaxed geometry, with properties calculated at the PBE level.

Cell: 9.509 9.509 9.509 Å, 145.31 128.16 63.89°
Fractional coordinates of all 11 atoms:
Pm  0.200  0.200  0.000
Pm  0.800  0.800  0.000
Pr  0.500  0.500  0.000
Sm  0.067  0.362  0.705
Sm  0.205  0.000  0.205
Sm  0.339  0.839  0.500
Sm  0.343  0.638  0.705
Sm  0.657  0.362  0.295
Sm  0.661  0.161  0.500
Sm  0.795  0.000  0.795
Sm  0.933  0.638  0.295

The calculation puts the volume at 380 Å³ per cell. As for the total energy: -4.622 eV per atom. Its space-group type is Immm, No. 71. The calculated formation energy comes out at 0.11 eV/atom.


No. 16
Below is crystalline MgPbI2 at its relaxed geometry, with properties calculated at the PBE level.

Cell: 5.694 5.694 5.694 Å, 60.00 60.00 60.00°
Fractional coordinates of all 4 atoms:
Mg  0.000  0.000  0.000
Pb  0.500  0.500  0.500
I  0.250  0.250  0.250
I  0.750  0.750  0.750

Its formation energy from raw total energies is -0.1515 eV per atom. The calculation puts the volume at 131 Å³ per cell. As for the total energy: -2.252 eV per atom. Its space-group type is Fm-3m, No. 225.


No. 17
Below is crystalline Ca2YMgS at its relaxed geometry, with properties calculated at the PBE level.

Cell: 5.381 5.381 5.372 Å, 90.00 90.00 90.00°
Fractional coordinates of all 5 atoms:
Ca  0.000  0.500  0.000
Ca  0.500  0.000  0.000
Y  0.000  0.000  0.500
Mg  0.500  0.500  0.500
S  0.000  0.000  0.000

Its formation energy from raw total energies is -0.6820 eV per atom. The calculation puts the volume at 156 Å³ per cell. As for the total energy: -3.920 eV per atom. Its space-group type is P4/mmm, No. 123.


No. 18
Below is crystalline TeOs2Pb at its relaxed geometry, with properties calculated at the PBE level.

Cell: 4.661 4.661 5.864 Å, 103.02 103.02 39.42°
Fractional coordinates of all 4 atoms:
Te  0.000  0.000  0.000
Os  0.247  0.247  0.800
Os  0.753  0.753  0.200
Pb  0.500  0.500  0.500

Its formation energy from raw total energies is 0.9180 eV per atom. The calculation puts the volume at 79 Å³ per cell. As for the total energy: -6.409 eV per atom. Its space-group type is C2/m, No. 12.


No. 19
Below is crystalline CaHg2Rh at its relaxed geometry, with properties calculated at the PBE level.

Cell: 5.400 5.400 8.898 Å, 111.61 111.61 48.70°
Fractional coordinates of all 8 atoms:
Ca  0.000  0.000  0.000
Ca  0.058  0.058  0.475
Hg  0.233  0.233  0.842
Hg  0.365  0.365  0.216
Hg  0.454  0.454  0.677
Hg  0.705  0.705  0.331
Rh  0.714  0.714  0.018
Rh  0.750  0.750  0.664

The calculation puts the volume at 178 Å³ per cell. As for the total energy: -2.806 eV per atom. Its space-group type is Cm, No. 8. The calculated formation energy comes out at -0.32 eV/atom.


No. 20
Below is crystalline Tb3Si2Pd at its relaxed geometry, with properties calculated at the PBE level.

Cell: 11.501 4.260 11.336 Å, 90.00 90.00 90.00°
Fractional coordinates of all 24 atoms:
Tb  0.054  0.250  0.125
Tb  0.122  0.750  0.562
Tb  0.212  0.250  0.808
Tb  0.288  0.750  0.308
Tb  0.378  0.250  0.062
Tb  0.446  0.750  0.625
Tb  0.554  0.250  0.375
Tb  0.622  0.750  0.938
Tb  0.712  0.250  0.692
Tb  0.788  0.750  0.192
Tb  0.878  0.250  0.438
Tb  0.946  0.750  0.875
Si  0.017  0.750  0.312
Si  0.189  0.750  0.001
Si  0.311  0.250  0.501
Si  0.483  0.250  0.812
Si  0.517  0.750  0.188
Si  0.689  0.750  0.499
Si  0.811  0.250  0.999
Si  0.983  0.250  0.688
Pd  0.129  0.250  0.371
Pd  0.371  0.750  0.871
Pd  0.629  0.250  0.129
Pd  0.871  0.750  0.629

Its formation energy from raw total energies is -0.8084 eV per atom. The calculation puts the volume at 555 Å³ per cell. As for the total energy: -5.797 eV per atom. Its space-group type is Pnma, No. 62.